[1]
Computed, not measured: crystalline Ca3TaSb at its relaxed geometry at the GGA-PBEsol level of DFT.

a b c (Å): 5.755 5.755 5.755
angles (deg): 90.00 90.00 90.00
Space group Pm-3m (No. 221)
Unique sites:
Ca  0.000  0.000  0.500 (multiplicity 3)
Ta  0.500  0.500  0.500 (multiplicity 1)
Sb  0.000  0.000  0.000 (multiplicity 1)

Summary:
The formation energy from raw total energies is 0.754 eV per atom.

=====

[2]
Computed, not measured: crystalline CaTa2Sb at its relaxed geometry at the GGA-PBEsol level of DFT.

a b c (Å): 3.511 3.511 7.174
angles (deg): 90.00 90.00 90.00
Space group P4mm (No. 99)
Unique sites:
Ca  0.000  0.000  0.000 (multiplicity 1)
Ta  0.000  0.000  0.475 (multiplicity 1)
Ta  0.500  0.500  0.302 (multiplicity 1)
Sb  0.500  0.500  0.704 (multiplicity 1)

Summary:
The formation energy from raw total energies is 0.050 eV per atom.